# NpIn4Br7

A relaxed NpIn4Br7 crystal (PBE, Alexandria).

It has space group C2/m (No. 12), with a = 21.4594 Å, b = 5.6295 Å, c = 7.8856 Å, α = 90.00°, β = 107.15° and γ = 90.00°. The distinct sites, in fractional coordinates, are Np at (0.0000, 0.0000, 0.0000), In at (0.0830, 0.5000, 0.6372), In at (0.1956, 0.5000, 0.2541), Br at (0.0000, 0.5000, 0.0000), Br at (0.0832, 0.0000, 0.3590), Br at (0.1157, 0.0000, 0.8846) and Br at (0.2232, 0.5000, 0.6599).

As for the density of states at the Fermi level: 14.93 states/eV per cell. The value obtained for the magnetic moment is 4.000 μB per formula unit. The total energy comes out at -91.50 eV for the cell shown.

=====

# NpIn2Br4

A relaxed NpIn2Br4 crystal (PBE, Alexandria).

It has space group I4/mmm (No. 139), with a = 5.8012 Å, b = 5.8012 Å, c = 16.3427 Å, α = 90.00°, β = 90.00° and γ = 90.00°. The distinct sites, in fractional coordinates, are Np at (0.0000, 0.0000, 0.0000), In at (0.0000, 0.0000, 0.3652), Br at (0.0000, 0.0000, 0.1779) and Br at (0.0000, 0.5000, 0.0000).

As for the density of states at the Fermi level: 26.88 states/eV per cell. The value obtained for the magnetic moment is 5.014 μB per formula unit. The total energy comes out at -60.30 eV for the cell shown.

=====

# Np2InBr8

A relaxed Np2InBr8 crystal (PBE, Alexandria).

It has space group C2/m (No. 12), with a = 9.0164 Å, b = 13.2858 Å, c = 5.7930 Å, α = 90.00°, β = 100.88° and γ = 90.00°. The distinct sites, in fractional coordinates, are Np at (0.0000, 0.1807, 0.0000), In at (0.0000, 0.5000, 0.5000), Br at (0.0000, 0.2441, 0.5000), Br at (0.1006, 0.0000, 0.2819) and Br at (0.1922, 0.3645, 0.0793).

As for the density of states at the Fermi level: 28.33 states/eV per cell. The value obtained for the magnetic moment is 7.000 μB per formula unit. The total energy comes out at -108.81 eV for the cell shown.

=====

# NpIn2Br8

A relaxed NpIn2Br8 crystal (PBE, Alexandria).

It has space group C2/m (No. 12), with a = 12.9583 Å, b = 9.7514 Å, c = 9.5246 Å, α = 90.00°, β = 123.47° and γ = 90.00°. The distinct sites, in fractional coordinates, are Np at (0.0000, 0.0000, 0.0000), In at (0.0974, 0.0000, 0.6693), Br at (0.0584, 0.1994, 0.8326), Br at (0.1754, 0.5000, 0.2074) and Br at (0.2353, 0.0000, 0.2630).

As for the density of states at the Fermi level: 10.38 states/eV per cell. The value obtained for the magnetic moment is 3.000 μB per formula unit. The total energy comes out at -84.31 eV for the cell shown.

=====

# RbNpIn2Br8

A relaxed RbNpIn2Br8 crystal (PBE, Alexandria).

It has space group P-1 (No. 2), with a = 6.9509 Å, b = 7.4082 Å, c = 9.5319 Å, α = 89.93°, β = 89.69° and γ = 88.75°. The distinct sites, in fractional coordinates, are Rb at (0.0000, 0.0000, 0.0000), Np at (0.0000, 0.0000, 0.5000), In at (0.4982, 0.4998, 0.2383), Br at (0.2178, 0.3034, 0.5010), Br at (0.2392, 0.8517, 0.7031), Br at (0.2419, 0.8549, 0.2953) and Br at (0.2794, 0.3699, 0.0002).

As for the density of states at the Fermi level: 14.97 states/eV per cell. The value obtained for the magnetic moment is 2.581 μB per formula unit. The total energy comes out at -45.50 eV for the cell shown.

=====

# RbNpInBr6

A relaxed RbNpInBr6 crystal (PBE, Alexandria).

It has space group P-31c (No. 163), with a = 8.2424 Å, b = 8.2424 Å, c = 12.7667 Å, α = 90.00°, β = 90.00° and γ = 120.00°. The distinct sites, in fractional coordinates, are Rb at (0.3333, 0.6667, 0.2500), Np at (0.3333, 0.6667, 0.7500), In at (0.0000, 0.0000, 0.0000) and Br at (0.0632, 0.3852, 0.6240).

As for the density of states at the Fermi level: 8.45 states/eV per cell. The value obtained for the magnetic moment is 3.000 μB per formula unit. The total energy comes out at -75.89 eV for the cell shown.

=====

no.,ΔE_f (raw) (meV per atom)
1,-845
2,-720
3,-1127
4,-941
5,-1061
6,-1251